Material: Al4Pb
Method: DFT, GGA-PBE
State: relaxed

```
data_Al4Pb
_chemical_formula_sum 'Al8 Pb2'
_cell_length_a 6.504
_cell_length_b 6.504
_cell_length_c 6.504
_cell_angle_alpha 90.00
_cell_angle_beta 90.00
_cell_angle_gamma 90.00
_symmetry_space_group_name_H-M 'I m -3 m'
_symmetry_Int_Tables_number 229
_symmetry_space_group_name_Hall '-I 4 2 3'
loop_
_atom_site_label
_atom_site_type_symbol
_atom_site_fract_x
_atom_site_fract_y
_atom_site_fract_z
Al1 Al 0.250 0.250 0.250
Pb1 Pb 0.000 0.000 0.000
```

* magnetization: 0.000 μB per atom
* offset from the most stable computed form: 0.685 eV per atom
* density of states at the Fermi level: 0.78 states/eV per atom
* density: 3.8 g/cm3
* energy relative to the elements: 839 meV per atom